# 1
# K2HgPb

An optimized crystal structure of K2HgPb (PBE, the Alexandria database).

## Properties
DFT total energy (eV for the cell shown): -18.61
Formation enthalpy at 0 K (meV/atom): 0

```
data_K2HgPb
_chemical_formula_sum 'K6 Hg3 Pb3'
_cell_length_a 4.2063
_cell_length_b 4.2063
_cell_length_c 33.9219
_cell_angle_alpha 90.00
_cell_angle_beta 90.00
_cell_angle_gamma 120.00
_symmetry_space_group_name_H-M 'R 3 m'
_symmetry_Int_Tables_number 160
_symmetry_space_group_name_Hall 'R 3 -2"'
loop_
_atom_site_label
_atom_site_type_symbol
_atom_site_fract_x
_atom_site_fract_y
_atom_site_fract_z
K1 K 0.0000 0.0000 0.0000
K2 K 0.0000 0.0000 0.2134
Hg1 Hg 0.0000 0.0000 0.7371
Pb1 Pb 0.0000 0.0000 0.4635
```

# 2
# Cs7K2Hg2

An optimized crystal structure of Cs7K2Hg2 (PBE, the Alexandria database).

## Properties
DFT total energy (eV for the cell shown): -17.79
Formation enthalpy at 0 K (meV/atom): -11

```
data_Cs7K2Hg2
_chemical_formula_sum 'Cs14 K4 Hg4'
_cell_length_a 11.906
_cell_length_b 18.151
_cell_length_c 9.865
_cell_angle_alpha 90.00
_cell_angle_beta 103.29
_cell_angle_gamma 90.00
_symmetry_space_group_name_H-M 'C 1 2/m 1'
_symmetry_Int_Tables_number 12
_symmetry_space_group_name_Hall '-C 2y'
loop_
_atom_site_label
_atom_site_type_symbol
_atom_site_fract_x
_atom_site_fract_y
_atom_site_fract_z
Cs1 Cs 0.000 0.000 0.000
Cs2 Cs 0.168 0.500 0.185
Cs3 Cs 0.184 0.211 0.224
K1 K 0.000 0.385 0.500
Hg1 Hg 0.173 0.500 0.781
```

# 3
# TlRuPt

An optimized crystal structure of TlRuPt (PBE, the Alexandria database).

## Properties
Excess energy over the best structure of this formula in the dataset (eV per atom): 0.092
DFT total energy (eV for the cell shown): -16.27
Formation enthalpy at 0 K (meV/atom): 471

```
data_TlRuPt
_chemical_formula_sum 'Tl1 Ru1 Pt1'
_cell_length_a 3.0092
_cell_length_b 3.0092
_cell_length_c 6.7461
_cell_angle_alpha 90.00
_cell_angle_beta 90.00
_cell_angle_gamma 120.00
_symmetry_space_group_name_H-M 'P 3 m 1'
_symmetry_Int_Tables_number 156
_symmetry_space_group_name_Hall 'P 3 -2"'
loop_
_atom_site_label
_atom_site_type_symbol
_atom_site_fract_x
_atom_site_fract_y
_atom_site_fract_z
Tl1 Tl 0.0000 0.0000 0.0000
Ru1 Ru 0.3333 0.6667 0.6581
Pt1 Pt 0.6667 0.3333 0.3546
```